NaDyCoCl6: optimized geometry, PBE.

POSCAR file:
```
NaDyCoCl6
1.0
6.5777 0.0000 0.0000
-3.2889 5.6965 0.0000
0.0000 0.0000 12.5445
Na Cl Co Dy
2 12 2 2
Direct
0.0000 0.0000 0.5000
0.0000 0.0000 0.0000
0.0217 0.6549 0.3638
0.6332 0.9783 0.3638
0.3451 0.9783 0.1362
0.9783 0.6332 0.8638
0.6549 0.0217 0.8638
0.9783 0.3451 0.6362
0.3668 0.3451 0.8638
0.6549 0.6332 0.6362
0.3668 0.0217 0.6362
0.3451 0.3668 0.3638
0.0217 0.3668 0.1362
0.6332 0.6549 0.1362
0.6667 0.3333 0.7500
0.3333 0.6667 0.2500
0.6667 0.3333 0.2500
0.3333 0.6667 0.7500
```

As for the total magnetization: 6.00 μB per cell. The density of states at the Fermi level is 0.8 states/eV/f.u. Its crystal system is trigonal. The value obtained for the formation energy without anion corrections is -1.581 eV per atom.

NdDyCoCl: optimized geometry, PBE.

POSCAR file:
```
NdDyCoCl
1.0
-1.1854 -2.1855 -2.9522
-0.5905 -1.1736 3.6289
-5.6989 5.3940 0.8164
Nd Cl Co Dy
1 1 1 1
Direct
0.5062 0.1510 0.6725
0.9602 0.3783 0.3534
0.3081 0.5520 0.8755
0.1033 0.9496 0.0684
```

As for the total magnetization: 0.00 μB per cell. The density of states at the Fermi level is 0.9 states/eV/f.u. Its crystal system is trigonal. The value obtained for the formation energy without anion corrections is -0.817 eV per atom.

DyPaCoCl: optimized geometry, PBE.

POSCAR file:
```
DyPaCoCl
1.0
3.8606 0.0000 0.0000
1.9303 3.3434 0.0000
1.9303 1.1145 15.2028
Pa Dy Cl Co
2 2 2 2
Direct
0.8091 0.8091 0.5726
0.1909 0.1909 0.4274
0.5899 0.5899 0.2304
0.4101 0.4101 0.7696
0.2941 0.2941 0.1177
0.7059 0.7059 0.8823
0.1166 0.1166 0.6501
0.8834 0.8834 0.3499
```

As for the total magnetization: 0.00 μB per cell. The density of states at the Fermi level is 3.4 states/eV/f.u. Its crystal system is trigonal. The value obtained for the formation energy without anion corrections is -0.892 eV per atom.

PmDyCoCl: optimized geometry, PBE.

POSCAR file:
```
PmDyCoCl
1.0
3.8472 -0.0006 -0.0001
-1.9233 3.3319 -0.0002
-1.9231 -1.1103 7.5379
Co Pm Cl Dy
1 1 1 1
Direct
0.3073 0.5515 0.8741
0.5062 0.1509 0.6725
0.9613 0.3788 0.3551
0.1031 0.9495 0.0679
```

As for the total magnetization: 0.00 μB per cell. The density of states at the Fermi level is 0.9 states/eV/f.u. Its crystal system is trigonal. The value obtained for the formation energy without anion corrections is -0.823 eV per atom.

RbDyCo2Cl8: optimized geometry, PBE.

POSCAR file:
```
RbDyCo2Cl8
1.0
6.4749 0.0000 0.0000
3.2375 5.6074 0.0000
3.2375 1.8691 9.7997
Cl Dy Rb Co
8 1 1 2
Direct
0.0538 0.3854 0.8399
0.7210 0.0538 0.8399
0.8195 0.8195 0.5416
0.2790 0.9462 0.1601
0.6146 0.2790 0.1601
0.3854 0.7210 0.8399
0.9462 0.6146 0.1601
0.1805 0.1805 0.4584
0.0000 0.0000 0.0000
0.5000 0.5000 0.5000
0.2549 0.2549 0.2352
0.7451 0.7451 0.7648
```

As for the total magnetization: 6.00 μB per cell. Its crystal system is trigonal. The value obtained for the formation energy without anion corrections is -1.350 eV per atom.

RbDyCoCl6: optimized geometry, PBE.

POSCAR file:
```
RbDyCoCl6
1.0
6.6839 0.0079 -0.0024
3.3489 5.7844 0.0026
-0.0091 0.0159 7.3820
Dy Cl Rb Co
1 6 1 1
Direct
0.3338 0.3338 0.5000
0.6304 0.3900 0.7010
0.3831 0.9797 0.6974
0.6370 0.9789 0.3028
0.9789 0.6370 0.6972
0.3899 0.6304 0.2990
0.9796 0.3831 0.3026
0.0001 0.0001 0.0000
0.6670 0.6670 0.5000
```

As for the total magnetization: 3.00 μB per cell. The density of states at the Fermi level is 0.5 states/eV/f.u. Its crystal system is monoclinic. The value obtained for the formation energy without anion corrections is -1.644 eV per atom.

Dy3CoSeCl: optimized geometry, PBE.

POSCAR file:
```
Dy3CoSeCl
1.0
-3.4807 -1.7434 -0.1017
3.4356 -6.6672 -3.2846
1.1642 -2.8537 9.0748
Cl Dy Co Se
2 6 2 2
Direct
0.2500 0.1459 0.5906
0.7500 0.8541 0.4094
0.7500 0.3726 0.6198
0.7500 0.3306 0.1888
0.2500 0.6274 0.3802
0.2500 0.1962 0.8915
0.2500 0.6694 0.8112
0.7500 0.8038 0.1085
0.7500 0.4663 0.9256
0.2500 0.5337 0.0744
0.7500 0.9302 0.8306
0.2500 0.0698 0.1694
```

As for the total magnetization: 0.00 μB per cell. The density of states at the Fermi level is 4.6 states/eV/f.u. Its crystal system is monoclinic. The value obtained for the formation energy without anion corrections is -1.041 eV per atom.

Dy4CoSe2Cl: optimized geometry, PBE.

POSCAR file:
```
Dy4CoSe2Cl
1.0
-1.3108 3.4189 1.2951
1.0760 -2.1286 6.7080
5.9825 3.1551 -2.2740
Co Cl Dy Se
1 1 4 2
Direct
0.5000 0.5000 0.0000
0.0000 0.0000 0.0000
0.0000 0.2855 0.7821
0.5000 0.2709 0.2407
0.5000 0.7291 0.7593
0.0000 0.7145 0.2179
0.5000 0.0000 0.5000
0.0000 0.5000 0.5000
```

As for the total magnetization: 0.00 μB per cell. The density of states at the Fermi level is 5.4 states/eV/f.u. Its crystal system is monoclinic. The value obtained for the formation energy without anion corrections is -1.244 eV per atom.

Sm2Dy2Co2Cl: optimized geometry, PBE.

POSCAR file:
```
Sm2Dy2Co2Cl
1.0
-1.1602 3.4450 0.5276
-1.7253 0.2053 7.6522
5.1311 3.1398 3.5688
Cl Sm Dy Co
1 2 2 2
Direct
0.0000 0.0000 0.0000
0.5320 0.2700 0.6660
0.4680 0.7300 0.3340
0.7716 0.3181 0.1386
0.2284 0.6819 0.8614
0.8967 0.5241 0.6826
0.1033 0.4759 0.3174
```

As for the total magnetization: 0.00 μB per cell. The density of states at the Fermi level is 6.1 states/eV/f.u. Its crystal system is monoclinic. The value obtained for the formation energy without anion corrections is -0.494 eV per atom.

Tb2Dy2Co2Cl: optimized geometry, PBE.

POSCAR file:
```
Tb2Dy2Co2Cl
1.0
-3.1781 0.2084 1.7313
-4.7842 -4.4575 -4.4505
-1.0459 -6.3403 2.6385
Cl Co Tb Dy
1 2 2 2
Direct
0.0000 0.0000 0.0000
0.1046 0.4696 0.3211
0.8954 0.5304 0.6789
0.5247 0.2763 0.6743
0.4753 0.7237 0.3257
0.7703 0.3116 0.1478
0.2297 0.6884 0.8522
```

As for the total magnetization: 0.00 μB per cell. The density of states at the Fermi level is 5.6 states/eV/f.u. Its crystal system is monoclinic. The value obtained for the formation energy without anion corrections is -0.507 eV per atom.

DyTlCoCl6: optimized geometry, PBE.

POSCAR file:
```
DyTlCoCl6
1.0
-5.1043 -3.8662 -1.8399
4.5420 1.8832 -4.4956
7.7166 -11.5876 2.9421
Cl Dy Tl Co
12 2 2 2
Direct
0.6167 0.9781 0.3521
0.6387 0.0219 0.8521
0.3613 0.9781 0.1479
0.3613 0.3833 0.3521
0.0219 0.6387 0.3521
0.9781 0.3613 0.6479
0.0219 0.3833 0.1479
0.6387 0.6167 0.6479
0.6167 0.6387 0.1479
0.9781 0.6167 0.8521
0.3833 0.3613 0.8521
0.3833 0.0219 0.6479
0.3333 0.6667 0.7500
0.6667 0.3333 0.2500
0.0000 0.0000 0.0000
0.0000 0.0000 0.5000
0.3333 0.6667 0.2500
0.6667 0.3333 0.7500
```

As for the total magnetization: 6.00 μB per cell. The density of states at the Fermi level is 11.1 states/eV/f.u. Its crystal system is trigonal. The value obtained for the formation energy without anion corrections is -1.412 eV per atom.

Dy2Y2Co2Cl: optimized geometry, PBE.

POSCAR file:
```
Dy2Y2Co2Cl
1.0
3.6209 0.0000 0.0000
1.8105 7.6975 0.2881
1.8105 2.1704 6.3424
Dy Co Y Cl
2 2 2 1
Direct
0.2297 0.6890 0.8515
0.7703 0.3110 0.1485
0.8947 0.5319 0.6787
0.1053 0.4681 0.3213
0.5250 0.2753 0.6746
0.4750 0.7247 0.3254
0.0000 0.0000 0.0000
```

As for the total magnetization: 0.00 μB per cell. The density of states at the Fermi level is 5.4 states/eV/f.u. Its crystal system is monoclinic. The value obtained for the formation energy without anion corrections is -0.497 eV per atom.